Record 1
This record from Alexandria via LeMat-Bulk describes Tm2ScBi after structural relaxation. The functional is GGA-PBE.

Unit cell a=3.4596 b=3.4596 c=34.8335 alpha=90.00 beta=90.00 gamma=120.00
With the nearest neighbours (Å) after each atom.
Space group R-3m (No. 166, hexagonal axes)
Unique sites:
Tm  0.0000  0.0000  0.0905  1 Bi 3.15, 3 Sc 3.32, 6 Tm 3.46
Sc  0.0000  0.0000  0.5000  6 Tm 3.32, 6 Sc 3.46
Bi  0.0000  0.0000  0.0000  2 Tm 3.15, 6 Bi 3.46

- energy of formation (kJ per mole of atoms) = 4.6


Record 2
This record from Alexandria via LeMat-Bulk describes Ca4Si after structural relaxation. The functional is GGA-PBE.

Unit cell a=7.0662 b=7.0662 c=7.0662 alpha=90.00 beta=90.00 gamma=90.00
With the nearest neighbours (Å) after each atom.
Space group Im-3m (No. 229)
Unique sites:
Ca  0.2500  0.2500  0.2500  2 Si 3.06
Si  0.0000  0.0000  0.0000  8 Ca 3.06

- formation energy without anion corrections (eV/atom) = -0.0242


Record 3
This record from Alexandria via LeMat-Bulk describes Ca5Te4I after structural relaxation. The functional is GGA-PBE.

Unit cell a=4.5289 b=6.3664 c=22.6142 alpha=90.00 beta=90.00 gamma=90.00
With the nearest neighbours (Å) after each atom.
Space group Immm (No. 71)
Unique sites:
Ca  0.0000  0.0000  0.0000  4 Te 3.16, 2 I 3.18
Ca  0.0000  0.0000  0.1986  6 Te 3.18-3.21
Ca  0.0000  0.0000  0.3907  4 Te 3.09-3.19, 2 I 3.35
Te  0.0000  0.5000  0.2020  6 Ca 3.09-3.19
Te  0.0000  0.5000  0.4023  6 Ca 3.16-3.21
I  0.0000  0.5000  0.0000  6 Ca 3.18-3.35

- formation energy without anion corrections (eV/atom) = -1.5274


Record 4
This record from Alexandria via LeMat-Bulk describes NpNiP after structural relaxation. The functional is GGA-PBE.

Unit cell a=3.5599 b=3.5599 c=6.8919 alpha=90.00 beta=90.00 gamma=90.00
With the nearest neighbours (Å) after each atom.
Space group P4/nmm (No. 129, origin choice 2)
Unique sites:
Np  0.2500  0.7500  0.0000  4 Np 2.52
Ni  0.2500  0.2500  0.3518  1 P 2.25
P  0.2500  0.2500  0.6790  1 Ni 2.25

- energy of formation (kJ per mole of atoms) = -25.3


Record 5
This record from Alexandria via LeMat-Bulk describes Cs2ZnCl after structural relaxation. The functional is GGA-PBE.

Unit cell a=9.5997 b=9.5997 c=10.2168 alpha=90.00 beta=90.00 gamma=90.00
With the nearest neighbours (Å) after each atom.
Space group I-42d (No. 122)
Unique sites:
Cs  0.2017  0.2500  0.1250  2 Cl 3.34
Zn  0.0000  0.0000  0.5000  4 Cs 3.95
Cl  0.0000  0.0000  0.0000  4 Cs 3.34

- formation energy without anion corrections (eV/atom) = -0.7191


Record 6
This record from Alexandria via LeMat-Bulk describes BeBiOsRh2 after structural relaxation. The functional is GGA-PBE.

Unit cell a=4.2320 b=4.2320 c=4.3257 alpha=90.00 beta=90.00 gamma=90.00
With the nearest neighbours (Å) after each atom.
Space group P4/mmm (No. 123)
Unique sites:
Be  0.0000  0.0000  0.0000  4 Rh 2.12, 2 Os 2.16
Bi  0.5000  0.5000  0.5000  4 Os 2.99, 8 Rh 3.03
Os  0.0000  0.0000  0.5000  2 Be 2.16
Rh  0.0000  0.5000  0.0000  2 Be 2.12

- energy of formation (kJ per mole of atoms) = 31.2


Record 7
This record from Alexandria via LeMat-Bulk describes DyHo3Er4 after structural relaxation. The functional is GGA-PBE.

Unit cell a=5.5561 b=25.8445 c=3.5157 alpha=90.00 beta=90.00 gamma=90.00
With the nearest neighbours (Å) after each atom.
Space group Cmmm (No. 65)
Unique sites:
Dy  0.0000  0.0000  0.0000  4 Er 3.20, 4 Ho 3.29, 2 Dy 3.52
Ho  0.0000  0.3445  0.0000  2 Ho 3.52, 10 Er 3.55-3.72
Ho  0.0000  0.5000  0.5000  4 Dy 3.29, 2 Ho 3.52
Er  0.0000  0.1037  0.5000  1 Er 3.09, 2 Dy 3.20
Er  0.0000  0.2232  0.5000  3 Er 3.09-3.10

- energy of formation (kJ per mole of atoms) = 20.2


Record 8
This record from Alexandria via LeMat-Bulk describes Al2RhW after structural relaxation. The functional is GGA-PBE.

Unit cell a=6.8324 b=6.8324 c=5.4994 alpha=90.00 beta=90.00 gamma=90.00
With the nearest neighbours (Å) after each atom.
Space group I-42d (No. 122)
Unique sites:
Al  0.2245  0.2500  0.1250  2 Rh 2.40, 2 W 2.63
Rh  0.0000  0.0000  0.0000  4 Al 2.40
W  0.0000  0.0000  0.5000  4 Al 2.63, 2 Rh 2.75

- energy of formation (kJ per mole of atoms) = 19.5


Record 9
This record from Alexandria via LeMat-Bulk describes NiMoIr2 after structural relaxation. The functional is GGA-PBE.

Unit cell a=2.7428 b=2.7428 c=26.0486 alpha=90.00 beta=90.00 gamma=120.00
With the nearest neighbours (Å) after each atom.
Space group R-3m (No. 166, hexagonal axes)
Unique sites:
Ni  0.0000  0.0000  0.0000  6 Ir 2.65, 6 Ni 2.74
Mo  0.0000  0.0000  0.5000  6 Ir 2.73, 6 Mo 2.74
Ir  0.0000  0.0000  0.2518  3 Ni 2.65, 3 Mo 2.73, 6 Ir 2.74

- energy of formation (kJ per mole of atoms) = -5.5


Record 10
This record from Alexandria via LeMat-Bulk describes Th8CoTe3Os3 after structural relaxation. The functional is GGA-PBE.

Unit cell a=8.3295 b=8.3295 c=23.1256 alpha=90.00 beta=90.00 gamma=120.00
With the nearest neighbours (Å) after each atom.
Space group R-3m (No. 166, hexagonal axes)
Unique sites:
Th  0.0000  0.0000  0.2338  3 Os 2.86
Th  0.0068  0.5034  0.2303  1 Co 2.78, 2 Os 2.84
Co  0.0000  0.0000  0.5000  6 Th 2.78
Te  0.0000  0.5000  0.0000  6 Th 3.33-3.37
Os  0.0000  0.5000  0.5000  6 Th 2.84-2.86

- formation energy without anion corrections (eV/atom) = -0.6613


Record 11
This record from Alexandria via LeMat-Bulk describes SrZr2Te2 after structural relaxation. The functional is GGA-PBE.

Unit cell a=8.3733 b=8.3733 c=3.7134 alpha=90.00 beta=90.00 gamma=90.00
With the nearest neighbours (Å) after each atom.
Space group P4/mbm (No. 127)
Unique sites:
Sr  0.0000  0.0000  0.0000  4 Te 3.21
Zr  0.1421  0.3579  0.5000  6 Te 3.04-3.13, 1 Zr 3.36
Te  0.1452  0.6452  0.0000  6 Zr 3.04-3.13, 2 Sr 3.21

- formation energy without anion corrections (eV/atom) = -0.5658


Record 12
This record from Alexandria via LeMat-Bulk describes Rb3Pb2Br7 after structural relaxation. The functional is GGA-PBE.

Unit cell a=5.9745 b=5.9745 c=29.2109 alpha=90.00 beta=90.00 gamma=90.00
With the nearest neighbours (Å) after each atom.
Space group I4/mmm (No. 139)
Unique sites:
Rb  0.0000  0.0000  0.0000  12 Br 4.18-4.22
Rb  0.0000  0.0000  0.1793  5 Br 3.38-3.78
Pb  0.0000  0.0000  0.3955  6 Br 2.94-3.05
Br  0.0000  0.0000  0.2949  1 Pb 2.94
Br  0.0000  0.0000  0.5000  2 Pb 3.05
Br  0.0000  0.5000  0.1001  2 Pb 2.99

- formation energy without anion corrections (eV/atom) = -1.3170